An optimized crystal structure of K2SrSb2, computed with GGA-PBE.

The structure in POSCAR format:
```
K2SrSb2
1.0
8.488 0.000 0.000
0.000 8.488 0.000
0.000 0.000 5.617
K Sr Sb
4 2 4
direct
0.160 0.340 0.000
0.340 0.840 0.000
0.660 0.160 0.000
0.840 0.660 0.000
0.000 0.000 0.500
0.500 0.500 0.500
0.123 0.623 0.500
0.377 0.123 0.500
0.623 0.877 0.500
0.877 0.377 0.500
```

## Properties
**ΔE_f (raw)**: -530 meV per atom